Here is an optimized crystal structure of Rb2CoBiO4 from Alexandria. Energies are from PBE with a Hubbard U.

abc: 12.8448 11.4782 7.1124
angles: 83.90 62.69 33.41
Atoms (fractional coordinates):
Rb  0.0641  0.0641  0.6859
Rb  0.3141  0.3141  0.9359
Rb  0.6859  0.6859  0.0641
Rb  0.9359  0.9359  0.3141
Co  0.3750  0.3750  0.3750
Co  0.6250  0.6250  0.6250
Bi  0.1250  0.1250  0.1250
Bi  0.8750  0.8750  0.8750
O  0.0316  0.6474  0.5314
O  0.2896  0.5314  0.6474
O  0.3526  0.9684  0.7104
O  0.4686  0.7104  0.9684
O  0.5314  0.2896  0.0316
O  0.6474  0.0316  0.2896
O  0.7104  0.4686  0.3526
O  0.9684  0.3526  0.4686

Calculated values
- total moment (μB/f.u.) = 4.0
- space group = No. 70
- electronic total energy (eV per atom) = -4.84